{
  "formula": "SrNdHg",
  "functional": "GGA-PBE",
  "state": "optimized geometry",
  "lattice_angstrom": [[-2.9897, -2.3145, 1.0717], [3.6363, -3.3965, 2.8091], [0.3430, 6.1045, 6.9353]],
  "species": ["Hg", "Hg", "Sr", "Sr", "Nd", "Nd"],
  "fractional_positions": [[0.9140, 0.2498, 0.8280], [0.0860, 0.7502, 0.1720], [0.5766, 0.2501, 0.1531], [0.4234, 0.7499, 0.8469], [0.2752, 0.2499, 0.5504], [0.7248, 0.7501, 0.4496]],
  "de_polymorph_ev_per_atom": 0.0000,
  "delta_e_f_ev_per_atom": -0.34,
  "total_energy_ev_per_atom": -2.592
}

{
  "formula": "Rb2MgTlCd",
  "functional": "GGA-PBE",
  "state": "optimized geometry",
  "lattice_angstrom": [[-4.2827, 3.4879, 4.4836], [-2.5044, -4.6911, 1.2571], [4.6516, -1.0696, 5.2753]],
  "species": ["Rb", "Rb", "Tl", "Cd", "Mg"],
  "fractional_positions": [[0.5000, 0.0000, 0.0000], [0.0000, 0.0000, 0.5000], [0.0000, 0.0000, 0.0000], [0.5000, 0.5000, 0.5000], [0.0000, 0.5000, 0.0000]],
  "delta_e_f_ev_per_atom": 0.20,
  "total_energy_ev_per_atom": -1.163
}

{
  "formula": "BeGa",
  "functional": "GGA-PBE",
  "state": "optimized geometry",
  "lattice_angstrom": [[5.7354, 0.0000, 0.0952], [0.0000, 2.6115, 0.0000], [-2.7283, 0.0000, 7.4876]],
  "species": ["Ga", "Ga", "Ga", "Ga", "Be", "Be", "Be", "Be"],
  "fractional_positions": [[0.2867, 0.5000, 0.5090], [0.7133, 0.0000, 0.9910], [0.2867, 0.0000, 0.0090], [0.7133, 0.5000, 0.4910], [0.9167, 0.5000, 0.8237], [0.9167, 0.0000, 0.3237], [0.0833, 0.0000, 0.6763], [0.0833, 0.5000, 0.1763]],
  "de_polymorph_ev_per_atom": 0.0418,
  "delta_e_f_ev_per_atom": 0.20,
  "total_energy_ev_per_atom": -3.178
}

| no. | ρ (Mg/m³) |
| --- | --- |
| 1 | 7.08 |
| 2 | 3.07 |
| 3 | 4.64 |